Record 1
# SrCoSe2

Crystalline SrCoSe2 at its relaxed geometry (PBE, Alexandria).

Calculated values
E_tot: -17.65 eV/cell
formation energy from raw total energies: -0.47 eV per atom
calculated volume: 88 Å³ per cell
polymorph energy (0 for the lowest one): 174 kJ/mol of formula units
SG: Fm-3m, No. 225

Cell: 4.999 4.999 4.999 Å, 60.00 60.00 60.00°
Site moments in Bohr magnetons follow the coordinates.
Positions (direct):
Sr1 0.500 0.500 0.500  0.03
Se1 0.750 0.750 0.750  0.23
Se2 0.250 0.250 0.250  0.23
Co1 0.000 0.000 0.000  2.21


Record 2
# SmBe2Ru2C

Crystalline SmBe2Ru2C at its relaxed geometry (PBE, Alexandria).

Calculated values
E_tot: -41.67 eV/cell
formation enthalpy at 0 K: -27.7 kJ per mole of atoms
calculated volume: 84 Å³ per cell
SG: P4/mmm, No. 123

Cell: 4.024 4.024 5.166 Å, 90.00 90.00 90.00°
Positions (direct):
Be1 0.500 0.500 0.742
Be2 0.500 0.500 0.258
Sm1 0.000 0.000 0.500
Ru1 0.500 0.000 0.000
Ru2 0.000 0.500 0.000
C1 0.000 0.000 0.000


Record 3
# Hf4SiSn2

Crystalline Hf4SiSn2 at its relaxed geometry (PBE, Alexandria).

Calculated values
E_tot: -52.98 eV/cell
formation energy from raw total energies: 0.04 eV per atom
calculated volume: 169 Å³ per cell
SG: I4/mmm, No. 139

Cell: 4.736 4.736 8.255 Å, 73.33 73.33 90.00°
Positions (direct):
Sn1 0.640 0.640 0.720
Sn2 0.360 0.360 0.280
Hf1 0.166 0.166 0.668
Hf2 0.500 0.000 0.000
Hf3 0.000 0.500 0.000
Hf4 0.834 0.834 0.332
Si1 0.000 0.000 0.000


Record 4
# BeRe3

Crystalline BeRe3 at its relaxed geometry (PBE, Alexandria).

Calculated values
E_tot: -81.27 eV/cell
formation enthalpy at 0 K: 10.5 kJ per mole of atoms
calculated volume: 110 Å³ per cell
polymorph energy (0 for the lowest one): 66 kJ/mol of formula units
SG: Pm-3n, No. 223

Cell: 4.797 4.797 4.797 Å, 90.00 90.00 90.00°
Positions (direct):
Be1 0.500 0.500 0.500
Be2 0.000 0.000 0.000
Re1 0.500 0.000 0.750
Re2 0.250 0.500 0.000
Re3 0.500 0.000 0.250
Re4 0.750 0.500 0.000
Re5 0.000 0.250 0.500
Re6 0.000 0.750 0.500


Record 5
# AcPuPdRu

Crystalline AcPuPdRu at its relaxed geometry (PBE, Alexandria).

Calculated values
E_tot: -33.67 eV/cell
formation enthalpy at 0 K: -18.4 kJ per mole of atoms
calculated volume: 93 Å³ per cell
SG: F-43m, No. 216

Cell: 5.086 5.086 5.086 Å, 60.00 60.00 60.00°
Site moments in Bohr magnetons follow the coordinates.
Positions (direct):
Pu1 0.500 0.500 0.500  5.15
Pd1 0.750 0.750 0.750  -0.09
Ru1 0.250 0.250 0.250  -0.61
Ac1 0.000 0.000 0.000  0.04


Record 6
# DyHo6Sc

Crystalline DyHo6Sc at its relaxed geometry (PBE, Alexandria).

Calculated values
E_tot: -36.40 eV/cell
formation enthalpy at 0 K: 24.1 kJ per mole of atoms
calculated volume: 247 Å³ per cell
polymorph energy (0 for the lowest one): 31 kJ/mol of formula units
SG: R-3m, No. 166

Cell: 6.916 6.916 6.916 Å, 110.23 110.23 110.23°
Positions (direct):
Ho1 0.261 0.749 0.749
Ho2 0.739 0.251 0.251
Ho3 0.251 0.739 0.251
Ho4 0.749 0.749 0.261
Ho5 0.749 0.261 0.749
Ho6 0.251 0.251 0.739
Dy1 0.000 0.000 0.000
Sc1 0.500 0.500 0.500


Record 7
# HoZrInTc

Crystalline HoZrInTc at its relaxed geometry (PBE, Alexandria).

Calculated values
E_tot: -26.94 eV/cell
formation enthalpy at 0 K: -17.1 kJ per mole of atoms
calculated volume: 85 Å³ per cell
SG: F-43m, No. 216

Cell: 4.938 4.938 4.938 Å, 60.00 60.00 60.00°
Positions (direct):
Tc1 0.000 0.000 0.000
Zr1 0.750 0.750 0.750
Ho1 0.250 0.250 0.250
In1 0.500 0.500 0.500


Record 8
# Li9AlGe2

Crystalline Li9AlGe2 at its relaxed geometry (PBE, Alexandria).

Calculated values
E_tot: -29.72 eV/cell
formation enthalpy at 0 K: 3.9 kJ per mole of atoms
calculated volume: 202 Å³ per cell
SG: R-3m, No. 166

Cell: 5.206 5.206 9.117 Å, 73.41 73.41 60.00°
Positions (direct):
Li1 0.923 0.402 0.273
Li2 0.402 0.923 0.273
Li3 0.402 0.402 0.273
Li4 0.598 0.598 0.727
Li5 0.500 0.500 0.500
Li6 0.077 0.598 0.727
Li7 0.338 0.338 0.987
Li8 0.662 0.662 0.013
Li9 0.598 0.077 0.727
Ge1 0.149 0.149 0.552
Ge2 0.851 0.851 0.448
Al1 0.000 0.000 0.000


Record 9
# SrLa2ScOs

Crystalline SrLa2ScOs at its relaxed geometry (PBE, Alexandria).

Calculated values
E_tot: -29.40 eV/cell
formation enthalpy at 0 K: -5.9 kJ per mole of atoms
calculated volume: 173 Å³ per cell
SG: P4/mmm, No. 123

Cell: 5.708 5.708 5.303 Å, 90.00 90.00 90.00°
Positions (direct):
La1 0.500 0.000 0.000
La2 0.000 0.500 0.000
Sr1 0.500 0.500 0.500
Os1 0.000 0.000 0.000
Sc1 0.000 0.000 0.500


Record 10
# HgAsSe2

Crystalline HgAsSe2 at its relaxed geometry (PBE, Alexandria).

Calculated values
E_tot: -10.45 eV/cell
formation energy from raw total energies: 0.37 eV per atom
calculated volume: 86 Å³ per cell
polymorph energy (0 for the lowest one): 168 kJ/mol of formula units
SG: Fm-3m, No. 225

Cell: 4.956 4.956 4.956 Å, 60.00 60.00 60.00°
Positions (direct):
Se1 0.250 0.250 0.250
Se2 0.750 0.750 0.750
Hg1 0.500 0.500 0.500
As1 0.000 0.000 0.000


Record 11
# NbPdAu

Crystalline NbPdAu at its relaxed geometry (PBE, Alexandria).

Calculated values
E_tot: -19.18 eV/cell
formation enthalpy at 0 K: -20.7 kJ per mole of atoms
calculated volume: 51 Å³ per cell
polymorph energy (0 for the lowest one): 27 kJ/mol of formula units
SG: P-6m2, No. 187

Cell: 2.774 4.592 4.592 Å, 120.00 90.00 90.00°
Positions (direct):
Nb1 0.667 0.333 0.667
Pd1 0.167 0.000 0.000
Au1 0.167 0.667 0.333


Record 12
# CePuAgAu

Crystalline CePuAgAu at its relaxed geometry (PBE, Alexandria).

Calculated values
E_tot: -27.35 eV/cell
formation enthalpy at 0 K: -23.0 kJ per mole of atoms
calculated volume: 100 Å³ per cell
polymorph energy (0 for the lowest one): 40 kJ/mol of formula units
SG: F-43m, No. 216

Cell: 5.208 5.208 5.208 Å, 60.00 60.00 60.00°
Site moments in Bohr magnetons follow the coordinates.
Positions (direct):
Pu1 0.000 0.000 0.000  5.45
Au1 0.750 0.750 0.750  0.02
Ag1 0.250 0.250 0.250  0.02
Ce1 0.500 0.500 0.500  0.90